[1]
Entry from the Alexandria database: crystalline K5As2I2 at its relaxed geometry (PBE-GGA).

```
K5As2I2
1.0
9.039 -4.383 0.000
9.039 4.383 0.000
0.000 0.000 8.777
K As I
10 4 4
Direct
0.000 0.000 0.000 K
0.046 0.697 0.674 K
0.197 0.546 0.174 K
0.303 0.954 0.674 K
0.454 0.803 0.174 K
0.500 0.500 0.500 K
0.546 0.197 0.826 K
0.697 0.046 0.326 K
0.803 0.454 0.826 K
0.954 0.303 0.326 K
0.099 0.901 0.401 As
0.401 0.599 0.901 As
0.599 0.401 0.099 As
0.901 0.099 0.599 As
0.207 0.207 0.000 I
0.293 0.293 0.500 I
0.707 0.707 0.500 I
0.793 0.793 0.000 I
```

Computed properties:
Energy relative to the elements, uncorrected   -0.8639 eV per atom
N(E_F)   9.8 states/eV per cell
Space group   Cmce, No. 64



[2]
Entry from the Alexandria database: crystalline K2AsI5 at its relaxed geometry (PBE-GGA).

```
K2AsI5
1.0
7.009 0.000 0.000
-3.487 7.652 0.000
-3.478 -2.396 7.861
K As I
2 1 5
Direct
0.000 0.000 0.000 K
0.094 0.659 0.526 K
0.567 0.328 0.762 As
0.165 0.080 0.445 I
0.475 0.033 0.919 I
0.616 0.624 0.607 I
0.740 0.579 0.082 I
0.942 0.322 0.755 I
```

Computed properties:
Energy relative to the elements, uncorrected   -0.7950 eV per atom
N(E_F)   0.0 states/eV per cell
Space group   P1, No. 1
Energy relative to the lowest polymorph listed for this composition   0.000 eV/atom



[3]
Entry from the Alexandria database: crystalline K2AsI at its relaxed geometry (PBE-GGA).

```
K2AsI
1.0
8.449 0.000 0.000
0.000 8.449 0.000
0.000 0.000 8.449
K As I
8 4 4
Direct
0.250 0.250 0.250 K
0.250 0.250 0.750 K
0.250 0.750 0.250 K
0.250 0.750 0.750 K
0.750 0.250 0.250 K
0.750 0.250 0.750 K
0.750 0.750 0.250 K
0.750 0.750 0.750 K
0.000 0.000 0.000 As
0.000 0.500 0.500 As
0.500 0.000 0.500 As
0.500 0.500 0.000 As
0.000 0.000 0.500 I
0.000 0.500 0.000 I
0.500 0.000 0.000 I
0.500 0.500 0.500 I
```

Computed properties:
Energy relative to the elements, uncorrected   -0.4641 eV per atom
N(E_F)   17.0 states/eV per cell
Space group   Fm-3m, No. 225
Energy relative to the lowest polymorph listed for this composition   0.000 eV/atom



[4]
Entry from the Alexandria database: crystalline K3AsI6 at its relaxed geometry (PBE-GGA).

```
K3AsI6
1.0
8.341 0.000 0.000
0.000 8.945 0.000
-7.885 0.000 11.884
K As I
6 2 12
Direct
0.000 0.000 0.000 K
0.000 0.500 0.500 K
0.206 0.084 0.740 K
0.206 0.416 0.240 K
0.794 0.584 0.760 K
0.794 0.916 0.260 K
0.500 0.000 0.500 As
0.500 0.500 0.000 As
0.165 0.173 0.447 I
0.165 0.327 0.947 I
0.266 0.729 0.424 I
0.266 0.771 0.924 I
0.408 0.054 0.275 I
0.408 0.446 0.775 I
0.592 0.554 0.225 I
0.592 0.946 0.725 I
0.734 0.229 0.076 I
0.734 0.271 0.576 I
0.835 0.673 0.053 I
0.835 0.827 0.553 I
```

Computed properties:
Energy relative to the elements, uncorrected   -0.9340 eV per atom
N(E_F)   0.0 states/eV per cell
Space group   P2_1/c, No. 14
Energy relative to the lowest polymorph listed for this composition   0.000 eV/atom



[5]
Entry from the Alexandria database: crystalline KAs2I8 at its relaxed geometry (PBE-GGA).

```
KAs2I8
1.0
7.737 -5.978 0.000
7.737 5.978 0.000
-1.712 0.000 6.981
K As I
1 2 8
Direct
0.000 0.000 0.000 K
0.220 0.220 0.700 As
0.780 0.780 0.300 As
0.053 0.694 0.239 I
0.222 0.222 0.330 I
0.306 0.947 0.761 I
0.395 0.395 0.914 I
0.605 0.605 0.086 I
0.694 0.053 0.239 I
0.778 0.778 0.670 I
0.947 0.306 0.761 I
```

Computed properties:
Energy relative to the elements, uncorrected   -0.3285 eV per atom
N(E_F)   5.4 states/eV per cell
Space group   C2/m, No. 12



[6]
Entry from the Alexandria database: crystalline K2AsI6 at its relaxed geometry (PBE-GGA).

```
K2AsI6
1.0
8.434 0.000 0.000
0.000 8.305 0.000
-7.382 0.000 11.027
K As I
4 2 12
Direct
0.205 0.101 0.223 K
0.205 0.399 0.723 K
0.795 0.601 0.277 K
0.795 0.899 0.777 K
0.500 0.000 0.000 As
0.500 0.500 0.500 As
0.167 0.185 0.940 I
0.167 0.315 0.440 I
0.306 0.708 0.991 I
0.306 0.792 0.491 I
0.349 0.544 0.250 I
0.349 0.956 0.750 I
0.651 0.044 0.250 I
0.651 0.456 0.750 I
0.694 0.208 0.509 I
0.694 0.292 0.009 I
0.833 0.685 0.560 I
0.833 0.815 0.060 I
```

Computed properties:
Energy relative to the elements, uncorrected   -0.6730 eV per atom
N(E_F)   10.5 states/eV per cell
Space group   P2_1/c, No. 14



[7]
Entry from the Alexandria database: crystalline KAs2I at its relaxed geometry (PBE-GGA).

```
KAs2I
1.0
7.651 0.000 0.000
0.000 7.651 0.000
0.000 0.000 7.651
K As I
4 8 4
Direct
0.000 0.000 0.000 K
0.000 0.500 0.500 K
0.500 0.000 0.500 K
0.500 0.500 0.000 K
0.250 0.250 0.250 As
0.250 0.250 0.750 As
0.250 0.750 0.250 As
0.250 0.750 0.750 As
0.750 0.250 0.250 As
0.750 0.250 0.750 As
0.750 0.750 0.250 As
0.750 0.750 0.750 As
0.000 0.000 0.500 I
0.000 0.500 0.000 I
0.500 0.000 0.000 I
0.500 0.500 0.500 I
```

Computed properties:
Energy relative to the elements, uncorrected   0.5261 eV per atom
N(E_F)   12.3 states/eV per cell
Space group   Fm-3m, No. 225
Energy relative to the lowest polymorph listed for this composition   0.239 eV/atom



[8]
Entry from the Alexandria database: crystalline K2AsI4 at its relaxed geometry (PBE-GGA).

```
K2AsI4
1.0
5.936 0.000 0.000
0.000 5.936 0.000
0.000 0.000 17.529
K As I
4 2 8
Direct
0.000 0.000 0.132 K
0.000 0.000 0.868 K
0.500 0.500 0.368 K
0.500 0.500 0.632 K
0.000 0.000 0.500 As
0.500 0.500 0.000 As
0.000 0.000 0.334 I
0.000 0.000 0.666 I
0.000 0.500 0.000 I
0.000 0.500 0.500 I
0.500 0.000 0.000 I
0.500 0.000 0.500 I
0.500 0.500 0.166 I
0.500 0.500 0.834 I
```

Computed properties:
Energy relative to the elements, uncorrected   -0.8035 eV per atom
N(E_F)   6.1 states/eV per cell
Space group   I4/mmm, No. 139
Energy relative to the lowest polymorph listed for this composition   0.003 eV/atom



[9]
Entry from the Alexandria database: crystalline K3AsI6 at its relaxed geometry (PBE-GGA).

```
K3AsI6
1.0
0.000 6.202 6.202
6.202 0.000 6.202
6.202 6.202 0.000
K As I
3 1 6
Direct
0.000 0.000 0.000 K
0.250 0.250 0.250 K
0.750 0.750 0.750 K
0.500 0.500 0.500 As
0.269 0.269 0.731 I
0.269 0.731 0.269 I
0.269 0.731 0.731 I
0.731 0.269 0.269 I
0.731 0.269 0.731 I
0.731 0.731 0.269 I
```

Computed properties:
Energy relative to the elements, uncorrected   -0.8593 eV per atom
N(E_F)   0.0 states/eV per cell
Space group   Fm-3m, No. 225
Energy relative to the lowest polymorph listed for this composition   0.075 eV/atom



[10]
Entry from the Alexandria database: crystalline K2AsI5 at its relaxed geometry (PBE-GGA).

```
K2AsI5
1.0
8.665 0.000 0.000
0.000 8.665 0.000
0.000 0.000 9.929
K As I
4 2 10
Direct
0.000 0.500 0.000 K
0.000 0.500 0.500 K
0.500 0.000 0.000 K
0.500 0.000 0.500 K
0.000 0.000 0.271 As
0.500 0.500 0.771 As
0.000 0.000 0.531 I
0.235 0.235 0.243 I
0.235 0.765 0.243 I
0.265 0.265 0.743 I
0.265 0.735 0.743 I
0.500 0.500 0.031 I
0.735 0.265 0.743 I
0.735 0.735 0.743 I
0.765 0.235 0.243 I
0.765 0.765 0.243 I
```

Computed properties:
Energy relative to the elements, uncorrected   -0.7927 eV per atom
N(E_F)   0.0 states/eV per cell
Space group   I4mm, No. 107
Energy relative to the lowest polymorph listed for this composition   0.002 eV/atom



[11]
Entry from the Alexandria database: crystalline KAsI3 at its relaxed geometry (PBE-GGA).

```
KAsI3
1.0
6.715 0.000 0.000
0.088 6.734 0.000
0.600 0.537 11.157
K As I
2 2 6
Direct
0.250 0.249 0.002 K
0.750 0.751 0.998 K
0.439 0.939 0.404 As
0.561 0.061 0.596 As
0.200 0.129 0.685 I
0.242 0.742 0.098 I
0.373 0.301 0.316 I
0.627 0.699 0.684 I
0.758 0.258 0.902 I
0.800 0.871 0.315 I
```

Computed properties:
Energy relative to the elements, uncorrected   -0.6567 eV per atom
N(E_F)   0.0 states/eV per cell
Space group   P-1, No. 2
Energy relative to the lowest polymorph listed for this composition   0.000 eV/atom



| no. | ρ (g cm⁻³) |
| --- | --- |
| 1 | 2.86 |
| 2 | 3.10 |
| 3 | 3.08 |
| 4 | 3.57 |
| 5 | 3.10 |
| 6 | 3.93 |
| 7 | 4.68 |
| 8 | 3.55 |
| 9 | 3.32 |
| 10 | 3.51 |
| 11 | 3.26 |